Here is an optimized crystal structure of Sc2ZnCd from Alexandria. Energies are from PBE-GGA.

D(E_F) = 3.59 states/eV per cell
energy of formation = -0.150 eV/atom
theoretical density = 5.06 Mg/m³

Geometry as extended XYZ:
```
4
Lattice="1.668 0.963 9.108 -1.668 0.963 9.108 0.000 -1.927 9.108" Properties=species:S:1:pos:R:3 pbc="T T T"
Sc 0.000 0.000 6.683
Sc 0.000 0.000 20.640
Zn 0.000 0.000 13.662
Cd 0.000 0.000 0.000
```